Entry 1:
Entry from the Alexandria database: TaPbBr2 after structural relaxation (PBE).

## Properties
Energy relative to the lowest polymorph listed for this composition (meV per atom): 627
VASP energy (eV per atom): -4.282
Space group: Pmmm
Raw formation energy (eV/atom): 0.445

a b c (Å): 3.290 6.003 4.970
angles (deg): 90.00 90.00 90.00
Last column: magnetic moment on the atom in μB.
Sites, in units of the cell vectors:
Pb: 0.500 0.000 0.500  -0.02
Br: 0.000 0.000 0.000  0.02
Br: 0.500 0.500 0.000  -0.03
Ta: 0.000 0.500 0.500  0.90

Entry 2:
Entry from the Alexandria database: K3DyTe2O9 after structural relaxation (PBE).

## Properties
VASP energy (eV per atom): -5.615
Space group: P-3m1
Raw formation energy (eV/atom): -1.695

a b c (Å): 5.830 5.830 7.185
angles (deg): 90.00 90.00 120.00
Sites, in units of the cell vectors:
K: 0.333 0.667 0.668
K: 0.000 0.000 0.000
K: 0.667 0.333 0.332
Dy: 0.000 0.000 0.500
Te: 0.333 0.667 0.167
Te: 0.667 0.333 0.833
O: 0.824 0.176 0.687
O: 0.824 0.647 0.687
O: 0.353 0.176 0.687
O: 0.647 0.824 0.313
O: 0.176 0.353 0.313
O: 0.176 0.824 0.313
O: 0.500 0.000 0.000
O: 0.000 0.500 0.000
O: 0.500 0.500 0.000

Entry 3:
Entry from the Alexandria database: Pr6Si2PbI3 after structural relaxation (PBE).

## Properties
VASP energy (eV per atom): -4.889
Space group: C2/m
Raw formation energy (eV/atom): -0.899

a b c (Å): 4.436 9.322 10.316
angles (deg): 105.85 102.42 90.00
Sites, in units of the cell vectors:
Pr: 0.335 0.868 0.669
Pr: 0.679 0.560 0.358
Pr: 0.665 0.132 0.331
Pr: 0.019 0.247 0.037
Pr: 0.981 0.753 0.963
Pr: 0.321 0.440 0.642
Si: 0.831 0.659 0.663
Si: 0.169 0.341 0.337
Pb: 0.500 0.000 0.000
I: 0.500 0.500 0.000
I: 0.836 0.165 0.672
I: 0.164 0.835 0.328

Entry 4:
Entry from the Alexandria database: ZrSiRhN2 after structural relaxation (PBE).

## Properties
VASP energy (eV per atom): -6.800
Space group: P4/mmm
Raw formation energy (eV/atom): 0.795

a b c (Å): 3.865 4.974 3.865
angles (deg): 90.00 90.00 90.00
Sites, in units of the cell vectors:
Si: 0.000 0.500 0.000
Rh: 0.000 0.000 0.000
Zr: 0.500 0.500 0.500
N: 0.000 0.000 0.500
N: 0.500 0.000 0.000

Entry 5:
Entry from the Alexandria database: CdBr3 after structural relaxation (PBE).

## Properties
VASP energy (eV per atom): -1.746
Space group: Cmmm
Raw formation energy (eV/atom): -0.263

a b c (Å): 3.967 3.967 10.313
angles (deg): 90.00 90.00 120.94
Last column: magnetic moment on the atom in μB.
Sites, in units of the cell vectors:
Br: 0.000 0.000 0.071  0.04
Br: 0.500 0.500 0.750  0.68
Br: 0.000 0.000 0.429  0.04
Cd: 0.500 0.500 0.250  0.00

Entry 6:
Entry from the Alexandria database: K2SbW after structural relaxation (PBE).

## Properties
VASP energy (eV per atom): -4.168
Space group: Pm
Raw formation energy (eV/atom): 0.650

a b c (Å): 3.673 3.673 11.130
angles (deg): 69.85 90.00 90.00
Sites, in units of the cell vectors:
K: 0.000 0.067 0.920
K: 0.500 0.184 0.330
Sb: 0.000 0.418 0.584
W: 0.500 0.831 0.667

Entry 7:
Entry from the Alexandria database: Sm7YHo2 after structural relaxation (PBE).

## Properties
Energy relative to the lowest polymorph listed for this composition (meV per atom): 0
VASP energy (eV per atom): -4.849
Formation energy from the elements (eV per atom): 0.02
Space group: P-1

a b c (Å): 6.242 9.538 6.229
angles (deg): 109.10 80.57 77.29
Sites, in units of the cell vectors:
Sm: 0.901 0.699 0.200
Sm: 0.099 0.301 0.800
Sm: 0.601 0.799 0.799
Sm: 0.399 0.201 0.201
Sm: 0.301 0.899 0.401
Sm: 0.699 0.101 0.599
Sm: 0.500 0.500 0.000
Y: 0.000 0.000 0.000
Ho: 0.201 0.599 0.599
Ho: 0.799 0.401 0.401

Entry 8:
Entry from the Alexandria database: PmLu2Zr after structural relaxation (PBE).

## Properties
Energy relative to the lowest polymorph listed for this composition (meV per atom): 120
VASP energy (eV per atom): -5.394
Formation energy from the elements (eV per atom): 0.19
Space group: Fm-3m

a b c (Å): 5.446 5.446 5.446
angles (deg): 60.00 60.00 60.00
Last column: magnetic moment on the atom in μB.
Sites, in units of the cell vectors:
Lu: 0.250 0.250 0.250  0.10
Lu: 0.750 0.750 0.750  0.10
Zr: 0.500 0.500 0.500  0.41
Pm: 0.000 0.000 0.000  -0.01

| no. | magnetization (μB per formula unit) | N(E_F) (states/eV per cell) |
| --- | --- | --- |
| 1 | 1.3 | 3.40 |
| 2 | 0.0 | 4.55 |
| 3 | 0.0 | 5.16 |
| 4 | 0.0 | 4.10 |
| 5 | 1.0 | 3.53 |
| 6 | 0.0 | 3.86 |
| 7 | 0.0 | 14.55 |
| 8 | 0.9 | 7.29 |